Entry A
The following is a SCAN calculation of a crystal of Rb2ICl relaxed with PBEsol, from Alexandria.

abc: 7.9143 7.9143 7.9143
angles: 112.68 112.68 103.24
Fractional positions:
1 Rb 0.0874 0.1250 0.4624
2 Rb 0.3750 0.9126 0.0376
3 Rb 0.6626 0.6250 0.5376
4 Rb 0.8750 0.3374 0.9624
5 I 0.2500 0.7500 0.5000
6 I 0.5000 0.5000 0.0000
7 Cl 0.0000 0.0000 0.0000
8 Cl 0.7500 0.2500 0.5000

Calculated values
Its density of states at the Fermi level is 0.00 states/eV/f.u.


Entry B
The following is a SCAN calculation of a crystal of Rb2ICl relaxed with PBEsol, from Alexandria.

abc: 5.8850 5.8850 5.8850
angles: 60.00 60.00 60.00
Fractional positions:
1 Rb 0.2500 0.2500 0.2500
2 Rb 0.7500 0.7500 0.7500
3 I 0.0000 0.0000 0.0000
4 Cl 0.5000 0.5000 0.5000

Calculated values
Its density of states at the Fermi level is 0.00 states/eV/f.u.


Which is most stable, and by how much? entry B, by 0.042 eV/atom.


Entry A
The following is a SCAN calculation of a crystal of Re3ICl relaxed with PBEsol, from Alexandria.

abc: 4.4244 4.4244 4.4244
angles: 90.00 90.00 90.00
Fractional positions:
1 Re 0.0000 0.0000 0.5000
2 Re 0.0000 0.5000 0.0000
3 Re 0.5000 0.0000 0.0000
4 I 0.5000 0.5000 0.5000
5 Cl 0.0000 0.0000 0.0000

Calculated values
Its density of states at the Fermi level is 4.04 states/eV/f.u.


Entry B
The following is a SCAN calculation of a crystal of Re3ICl relaxed with PBEsol, from Alexandria.

abc: 4.8583 4.8583 4.8583
angles: 90.00 90.00 90.00
Fractional positions:
1 Re 0.0000 0.0000 0.5000
2 Re 0.0000 0.5000 0.0000
3 Re 0.5000 0.0000 0.0000
4 I 0.0000 0.0000 0.0000
5 Cl 0.5000 0.5000 0.5000

Calculated values
Its density of states at the Fermi level is 6.19 states/eV/f.u.


Which is most stable, and by how much? entry A, by 0.737 eV/atom.


Entry A
The following is a SCAN calculation of a crystal of ScSICl2 relaxed with PBEsol, from Alexandria.

abc: 5.3785 5.3785 5.2389
angles: 90.00 90.00 90.00
Fractional positions:
1 Sc 0.0000 0.0000 0.0000
2 S 0.5000 0.5000 0.0000
3 I 0.5000 0.5000 0.5000
4 Cl 0.0000 0.5000 0.5000
5 Cl 0.5000 0.0000 0.5000

Calculated values
Its density of states at the Fermi level is 3.38 states/eV/f.u.


Entry B
The following is a SCAN calculation of a crystal of ScSICl2 relaxed with PBEsol, from Alexandria.

abc: 4.7580 4.7580 5.4114
angles: 90.00 90.00 90.00
Fractional positions:
1 Sc 0.0000 0.0000 0.0000
2 S 0.0000 0.0000 0.5000
3 I 0.5000 0.5000 0.5000
4 Cl 0.0000 0.5000 0.0000
5 Cl 0.5000 0.0000 0.0000

Calculated values
Its density of states at the Fermi level is 1.67 states/eV/f.u.


Which is most stable, and by how much? entry B, by 1.369 eV/atom.


Entry A
The following is a SCAN calculation of a crystal of TlICl2 relaxed with PBEsol, from Alexandria.

abc: 10.4739 10.4739 10.4739
angles: 19.32 19.32 19.32
Fractional positions:
1 Tl 0.0000 0.0000 0.0000
2 I 0.5000 0.5000 0.5000
3 Cl 0.0823 0.0823 0.0823
4 Cl 0.9177 0.9177 0.9177

Calculated values
Its density of states at the Fermi level is 4.33 states/eV/f.u.


Entry B
The following is a SCAN calculation of a crystal of TlICl2 relaxed with PBEsol, from Alexandria.

abc: 8.3437 8.3437 8.3437
angles: 34.44 34.44 34.44
Fractional positions:
1 Tl 0.0000 0.0000 0.0000
2 I 0.5000 0.5000 0.5000
3 Cl 0.3916 0.3916 0.3916
4 Cl 0.6084 0.6084 0.6084

Calculated values
Its density of states at the Fermi level is 0.00 states/eV/f.u.


Which is most stable, and by how much? entry B, by 0.691 eV/atom.


Entry A
The following is a SCAN calculation of a crystal of InIrCl2 relaxed with PBEsol, from Alexandria.

abc: 3.0397 4.3888 5.2750
angles: 90.00 90.00 90.00
Fractional positions:
1 In 0.0000 0.0000 0.0000
2 Ir 0.5000 0.0000 0.5000
3 Cl 0.0000 0.5000 0.5000
4 Cl 0.5000 0.5000 0.0000

Calculated values
Its density of states at the Fermi level is 1.72 states/eV/f.u.


Entry B
The following is a SCAN calculation of a crystal of InIrCl2 relaxed with PBEsol, from Alexandria.

abc: 3.9405 3.9405 8.8148
angles: 111.83 111.83 47.37
Fractional positions:
1 In 0.0000 0.0000 0.0000
2 Ir 0.6111 0.6111 0.8001
3 Cl 0.0619 0.0619 0.6017
4 Cl 0.5620 0.5620 0.2406


Entry C
The following is a SCAN calculation of a crystal of InIrCl2 relaxed with PBEsol, from Alexandria.

abc: 3.5908 3.5908 6.7824
angles: 90.00 90.00 90.00
Fractional positions:
1 In 0.0000 0.0000 0.0000
2 Ir 0.5000 0.5000 0.1094
3 Cl 0.0000 0.0000 0.3825
4 Cl 0.5000 0.5000 0.7590

Calculated values
Its density of states at the Fermi level is 0.07 states/eV/f.u.


Which is most stable, and by how much? entry B, by 0.373 eV/atom.


Entry A
The following is a SCAN calculation of a crystal of KIn2Cl relaxed with PBEsol, from Alexandria.

abc: 7.3140 7.3140 7.3140
angles: 149.62 142.97 48.62
Fractional positions:
1 K 0.0000 0.0000 0.0000
2 In 0.2641 0.7641 0.5000
3 In 0.7359 0.2359 0.5000
4 Cl 0.5000 0.5000 0.0000

Calculated values
Its density of states at the Fermi level is 1.58 states/eV/f.u.


Entry B
The following is a SCAN calculation of a crystal of KIn2Cl relaxed with PBEsol, from Alexandria.

abc: 3.8682 3.8559 8.7311
angles: 90.00 102.77 90.00
Fractional positions:
1 K 0.0000 0.0000 0.0000
2 In 0.3162 0.0000 0.6279
3 In 0.7337 0.5000 0.4624
4 Cl 0.5706 0.5000 0.1415

Calculated values
Its density of states at the Fermi level is 0.95 states/eV/f.u.


Which is most stable, and by how much? entry B, by 0.034 eV/atom.


Entry A
The following is a SCAN calculation of a crystal of LaIn2Cl relaxed with PBEsol, from Alexandria.

abc: 9.9813 9.9813 9.9813
angles: 20.23 20.23 20.23
Fractional positions:
1 La 0.0000 0.0000 0.0000
2 In 0.2420 0.2420 0.2420
3 In 0.7580 0.7580 0.7580
4 Cl 0.5000 0.5000 0.5000

Calculated values
Its density of states at the Fermi level is 2.03 states/eV/f.u.


Entry B
The following is a SCAN calculation of a crystal of LaIn2Cl relaxed with PBEsol, from Alexandria.

abc: 3.7352 4.5060 6.0070
angles: 90.00 90.00 90.00
Fractional positions:
1 La 0.0000 0.0000 0.0000
2 In 0.0000 0.5000 0.5000
3 In 0.5000 0.0000 0.5000
4 Cl 0.5000 0.5000 0.0000

Calculated values
Its density of states at the Fermi level is 2.11 states/eV/f.u.


Which is most stable, and by how much? entry B, by 0.475 eV/atom.